The following is a SCAN calculation of a PBEsol-optimized structure of MgCd2, from Alexandria.

a = 4.977 Å, b = 4.977 Å, c = 5.887 Å
α = 90.00°, β = 90.00°, γ = 120.00°
Fractional positions:
Cd 0.000 0.000 0.000
Mg 0.333 0.667 0.750
Cd 0.000 0.000 0.500
Mg 0.667 0.333 0.250
Cd 0.333 0.667 0.250
Cd 0.667 0.333 0.750

Properties
* volume: 21.049 A^3/atom
* formation enthalpy at 0 K: -0.04 eV per atom
* E: -21.9738 eV per atom
* crystal system: hexagonal